1.
# AcDy2HfN4 | Alexandria | PBE | relaxed
# crystal system	orthorhombic
# raw formation energy	-1.38	eV/atom
# uncorrected energy	-0.62136	Ry per atom
data_AcDy2HfN4
_cell_length_a 3.5285
_cell_length_b 12.3292
_cell_length_c 12.2336
_cell_angle_alpha 90.00
_cell_angle_beta 90.00
_cell_angle_gamma 90.00
_symmetry_space_group_name_H-M 'C m c m'
_symmetry_Int_Tables_number 63
_symmetry_space_group_name_Hall '-C 2c 2'
loop_
_atom_site_label
_atom_site_fract_x
_atom_site_fract_y
_atom_site_fract_z
Ac1 0.0000 0.1025 0.2500
Dy1 0.0000 0.3707 0.0331
Hf1 0.0000 0.1599 0.7500
N1 0.0000 0.0000 0.0000
N2 0.0000 0.2585 0.6179
N3 0.0000 0.4354 0.2500

2.
# Ac2Dy2Hg | Alexandria | PBE | relaxed
# crystal system	tetragonal
# DFT formation energy	-0.138	eV/atom
# uncorrected energy	-0.27070	Ry per atom
data_Ac2Dy2Hg
_cell_length_a 3.9007
_cell_length_b 3.9007
_cell_length_c 23.0721
_cell_angle_alpha 90.00
_cell_angle_beta 90.00
_cell_angle_gamma 90.00
_symmetry_space_group_name_H-M 'I 4/m m m'
_symmetry_Int_Tables_number 139
_symmetry_space_group_name_Hall '-I 4 2'
loop_
_atom_site_label
_atom_site_fract_x
_atom_site_fract_y
_atom_site_fract_z
Ac1 0.0000 0.0000 0.0914
Dy1 0.0000 0.0000 0.2965
Hg1 0.0000 0.0000 0.5000

3.
# AcDyHg4 | Alexandria | PBE | relaxed
# crystal system	orthorhombic
# DFT formation energy	-0.397	eV/atom
# uncorrected energy	-0.15065	Ry per atom
data_AcDyHg4
_cell_length_a 3.6240
_cell_length_b 5.0903
_cell_length_c 8.7543
_cell_angle_alpha 90.00
_cell_angle_beta 90.00
_cell_angle_gamma 90.00
_symmetry_space_group_name_H-M 'P m m m'
_symmetry_Int_Tables_number 47
_symmetry_space_group_name_Hall '-P 2 2'
loop_
_atom_site_label
_atom_site_fract_x
_atom_site_fract_y
_atom_site_fract_z
Ac1 0.0000 0.0000 0.0000
Dy1 0.0000 0.5000 0.5000
Hg1 0.5000 0.0000 0.3397
Hg2 0.5000 0.5000 0.1772

4.
# AcDyHg4 | Alexandria | PBE | relaxed
# crystal system	cubic
# DFT formation energy	-0.259	eV/atom
# uncorrected energy	-0.14054	Ry per atom
data_AcDyHg4
_cell_length_a 8.6329
_cell_length_b 8.6329
_cell_length_c 8.6329
_cell_angle_alpha 90.00
_cell_angle_beta 90.00
_cell_angle_gamma 90.00
_symmetry_space_group_name_H-M 'F -4 3 m'
_symmetry_Int_Tables_number 216
_symmetry_space_group_name_Hall 'F -4 2 3'
loop_
_atom_site_label
_atom_site_fract_x
_atom_site_fract_y
_atom_site_fract_z
Ac1 0.0000 0.0000 0.0000
Dy1 0.2500 0.2500 0.7500
Hg1 0.1245 0.1245 0.3755

5.
# Ac3Dy2Hg3 | Alexandria | PBE | relaxed
# crystal system	orthorhombic
# DFT formation energy	-0.345	eV/atom
# uncorrected energy	-0.23144	Ry per atom
data_Ac3Dy2Hg3
_cell_length_a 3.9368
_cell_length_b 5.6925
_cell_length_c 23.3861
_cell_angle_alpha 90.00
_cell_angle_beta 90.00
_cell_angle_gamma 90.00
_symmetry_space_group_name_H-M 'I m m m'
_symmetry_Int_Tables_number 71
_symmetry_space_group_name_Hall '-I 2 2'
loop_
_atom_site_label
_atom_site_fract_x
_atom_site_fract_y
_atom_site_fract_z
Ac1 0.0000 0.0000 0.0000
Ac2 0.0000 0.5000 0.1237
Dy1 0.0000 0.0000 0.2341
Hg1 0.0000 0.0000 0.5000
Hg2 0.0000 0.5000 0.3694

6.
# Ac5DyHg6 | Alexandria | PBE | relaxed
# crystal system	monoclinic
# DFT formation energy	-0.457	eV/atom
# uncorrected energy	-0.19869	Ry per atom
data_Ac5DyHg6
_cell_length_a 17.8653
_cell_length_b 7.9850
_cell_length_c 5.6346
_cell_angle_alpha 90.00
_cell_angle_beta 108.21
_cell_angle_gamma 90.00
_symmetry_space_group_name_H-M 'C 1 2/m 1'
_symmetry_Int_Tables_number 12
_symmetry_space_group_name_Hall '-C 2y'
loop_
_atom_site_label
_atom_site_fract_x
_atom_site_fract_y
_atom_site_fract_z
Ac1 0.0000 0.0000 0.0000
Ac2 0.1637 0.0000 0.6639
Ac3 0.1720 0.5000 0.6725
Dy1 0.0000 0.5000 0.0000
Hg1 0.0000 0.2770 0.5000
Hg2 0.1579 0.2645 0.1587

7.
# Ac5Dy4Hg4 | Alexandria | PBE | relaxed
# crystal system	tetragonal
# DFT formation energy	-0.284	eV/atom
# uncorrected energy	-0.24791	Ry per atom
data_Ac5Dy4Hg4
_cell_length_a 13.0020
_cell_length_b 13.0020
_cell_length_c 5.2235
_cell_angle_alpha 90.00
_cell_angle_beta 90.00
_cell_angle_gamma 90.00
_symmetry_space_group_name_H-M 'I 4/m'
_symmetry_Int_Tables_number 87
_symmetry_space_group_name_Hall '-I 4'
loop_
_atom_site_label
_atom_site_fract_x
_atom_site_fract_y
_atom_site_fract_z
Ac1 0.0000 0.0000 0.0000
Ac2 0.1293 0.1936 0.5000
Dy1 0.0895 0.5965 0.5000
Hg1 0.0737 0.7489 0.0000

8.
# Ac2DyHg10 | Alexandria | PBE | relaxed
# crystal system	orthorhombic
# DFT formation energy	-0.094	eV/atom
# uncorrected energy	-0.09643	Ry per atom
data_Ac2DyHg10
_cell_length_a 11.0693
_cell_length_b 13.3184
_cell_length_c 5.8555
_cell_angle_alpha 90.00
_cell_angle_beta 90.00
_cell_angle_gamma 90.00
_symmetry_space_group_name_H-M 'P b a m'
_symmetry_Int_Tables_number 55
_symmetry_space_group_name_Hall '-P 2 2ab'
loop_
_atom_site_label
_atom_site_fract_x
_atom_site_fract_y
_atom_site_fract_z
Ac1 0.1301 0.1713 0.0000
Dy1 0.0000 0.5000 0.5000
Hg1 0.0306 0.8861 0.5000
Hg2 0.0917 0.6879 0.2439
Hg3 0.1890 0.3189 0.5000
Hg4 0.2279 0.0384 0.5000